Entry 1:
Pr3Nd5Sm4 after structural relaxation, computed with PBE-GGA.

Cell: 7.337 11.615 13.248 Å, 151.29 56.37 129.19°
Element x y z (fractional)
Pr 0.586 0.168 0.334
Pr 0.000 0.000 0.500
Pr 0.414 0.832 0.666
Nd 0.334 0.668 0.834
Nd 0.500 0.000 0.500
Nd 0.749 0.501 0.001
Nd 0.251 0.499 0.999
Nd 0.666 0.332 0.166
Sm 0.918 0.834 0.668
Sm 0.834 0.668 0.834
Sm 0.166 0.332 0.166
Sm 0.082 0.166 0.332

Properties
Energy relative to the elements ... 0.01 eV per atom
Raw total energy ... -4.742 eV per atom
Offset from the most stable computed form ... 0.000 eV per formula unit
V ... 35.02 Å³/atom
SG ... P-1

---

Entry 2:
Pr5NdSm5 after structural relaxation, computed with PBE-GGA.

Cell: 7.092 8.733 9.834 Å, 44.34 89.37 104.79°
Element x y z (fractional)
Pr 0.145 0.494 0.148
Pr 0.241 0.090 0.640
Pr 0.500 0.000 0.000
Pr 0.759 0.910 0.360
Pr 0.855 0.506 0.852
Nd 0.000 0.000 0.000
Sm 0.300 0.041 0.315
Sm 0.351 0.506 0.780
Sm 0.000 0.500 0.500
Sm 0.649 0.494 0.220
Sm 0.700 0.959 0.685

Properties
Energy relative to the elements ... 0.14 eV per atom
Raw total energy ... -4.616 eV per atom
Offset from the most stable computed form ... 0.000 eV per formula unit
V ... 35.85 Å³/atom
SG ... P-1

---

Entry 3:
PrNdSm after structural relaxation, computed with PBE-GGA.

Cell: 3.675 3.675 8.991 Å, 90.00 90.00 120.00°
Element x y z (fractional)
Pr 0.000 0.000 0.998
Nd 0.667 0.333 0.336
Sm 0.333 0.667 0.666

Properties
Energy relative to the elements ... 0.01 eV per atom
Raw total energy ... -4.744 eV per atom
Offset from the most stable computed form ... 0.000 eV per formula unit
V ... 35.06 Å³/atom
SG ... P3m1

---

Entry 4:
PrNd6Sm after structural relaxation, computed with PBE-GGA.

Cell: 6.374 6.374 8.232 Å, 105.03 105.03 109.27°
Element x y z (fractional)
Pr 0.500 0.500 0.000
Nd 0.625 0.125 0.250
Nd 0.875 0.375 0.750
Nd 0.250 0.250 0.500
Nd 0.125 0.625 0.250
Nd 0.375 0.875 0.750
Nd 0.750 0.750 0.500
Sm 0.000 0.000 0.000

Properties
Energy relative to the elements ... 0.01 eV per atom
Raw total energy ... -4.749 eV per atom
V ... 35.28 Å³/atom
SG ... Fmmm

---

Entry 5:
Pr4Nd3Sm3 after structural relaxation, computed with PBE-GGA.

Cell: 3.876 9.615 9.615 Å, 90.14 90.00 90.00°
Element x y z (fractional)
Pr 0.000 0.630 0.370
Pr 0.000 0.369 0.631
Pr 0.000 0.871 0.869
Pr 0.000 0.131 0.129
Nd 0.500 0.831 0.169
Nd 0.500 0.330 0.331
Nd 0.500 0.669 0.670
Sm 0.000 0.499 0.999
Sm 0.000 0.001 0.501
Sm 0.500 0.170 0.830

Properties
Energy relative to the elements ... 0.11 eV per atom
Raw total energy ... -4.649 eV per atom
V ... 35.83 Å³/atom
SG ... Amm2

---

Entry 6:
PrNd6Sm2 after structural relaxation, computed with PBE-GGA.

Cell: 6.345 7.629 7.629 Å, 59.99 90.00 90.00°
Last column: magnetic moment on the atom in μB.
Element x y z (fractional)
Pr 0.000 0.000 0.000  0.01
Nd 0.293 0.374 0.813  0.06
Nd 0.293 0.813 0.813  0.06
Nd 0.293 0.813 0.374  0.06
Nd 0.707 0.626 0.187  0.06
Nd 0.707 0.187 0.187  0.06
Nd 0.707 0.187 0.626  0.06
Sm 0.787 0.667 0.667  0.05
Sm 0.213 0.333 0.333  0.05

Properties
Energy relative to the elements ... 0.21 eV per atom
Raw total energy ... -4.552 eV per atom
Offset from the most stable computed form ... 1.394 eV per formula unit
V ... 35.54 Å³/atom
SG ... P-3m1